1.
VASP calculation (GGA-PBE) on a relaxed structure of BaMnPb2.

Cell lengths 4.9940, 4.9940, 10.0250 Å; angles 90.00, 90.00, 90.00 degrees
Sites, in units of the cell vectors:
Ba: 0.0000 0.0000 0.0000
Ba: 0.5000 0.5000 0.5000
Mn: 0.0000 0.5000 0.7500
Mn: 0.5000 0.0000 0.2500
Pb: 0.0000 0.0000 0.5000
Pb: 0.0000 0.5000 0.2500
Pb: 0.5000 0.0000 0.7500
Pb: 0.5000 0.5000 0.0000

E_tot ... -35.7 eV/cell
Density ... 8.06 Mg/m³


2.
VASP calculation (GGA-PBE) on a relaxed structure of BaMnPb2.

Cell lengths 7.9821, 7.9821, 7.9821 Å; angles 90.00, 90.00, 90.00 degrees
Sites, in units of the cell vectors:
Ba: 0.0000 0.0000 0.0000
Ba: 0.0000 0.5000 0.5000
Ba: 0.5000 0.0000 0.5000
Ba: 0.5000 0.5000 0.0000
Mn: 0.2500 0.2500 0.2500
Mn: 0.2500 0.7500 0.7500
Mn: 0.7500 0.2500 0.7500
Mn: 0.7500 0.7500 0.2500
Pb: 0.0000 0.0000 0.5000
Pb: 0.0000 0.5000 0.0000
Pb: 0.2500 0.2500 0.7500
Pb: 0.2500 0.7500 0.2500
Pb: 0.5000 0.0000 0.0000
Pb: 0.5000 0.5000 0.5000
Pb: 0.7500 0.2500 0.2500
Pb: 0.7500 0.7500 0.7500

E_tot ... -70.7 eV/cell
Density ... 7.92 Mg/m³


3.
VASP calculation (GGA-PBE) on a relaxed structure of BaMnPb3.

Cell lengths 6.2443, 6.2443, 6.2443 Å; angles 90.00, 90.00, 90.00 degrees
Sites, in units of the cell vectors:
Ba: 0.0000 0.0000 0.0000
Mn: 0.5000 0.5000 0.5000
Pb: 0.0000 0.0000 0.5000
Pb: 0.0000 0.5000 0.0000
Pb: 0.5000 0.0000 0.0000

E_tot ... -12.9 eV/cell
Density ... 5.55 Mg/m³


4.
VASP calculation (GGA-PBE) on a relaxed structure of BaMnPb2.

Cell lengths 5.0560, 5.0560, 5.4311 Å; angles 90.00, 90.00, 90.00 degrees
Sites, in units of the cell vectors:
Ba: 0.0000 0.0000 0.0000
Mn: 0.5000 0.5000 0.2803
Pb: 0.0000 0.5000 0.5149
Pb: 0.5000 0.0000 0.5149

E_tot ... -18.2 eV/cell
Density ... 7.26 Mg/m³


5.
VASP calculation (GGA-PBE) on a relaxed structure of BaMnPb2.

Cell lengths 5.0431, 5.0431, 4.9283 Å; angles 90.00, 90.00, 90.00 degrees
Sites, in units of the cell vectors:
Ba: 0.0000 0.0000 0.0000
Mn: 0.5000 0.5000 0.0000
Pb: 0.0000 0.5000 0.5000
Pb: 0.5000 0.0000 0.5000

E_tot ... -18.0 eV/cell
Density ... 8.04 Mg/m³


6.
VASP calculation (GGA-PBE) on a relaxed structure of BaMnPb2.

Cell lengths 4.5176, 4.5751, 12.9616 Å; angles 90.00, 90.00, 90.00 degrees
Sites, in units of the cell vectors:
Ba: 0.0000 0.0000 0.0000
Ba: 0.5000 0.5000 0.5000
Mn: 0.0000 0.5000 0.7466
Mn: 0.5000 0.0000 0.2466
Pb: 0.0000 0.0000 0.6119
Pb: 0.0000 0.5000 0.2809
Pb: 0.5000 0.0000 0.7809
Pb: 0.5000 0.5000 0.1119

E_tot ... -36.5 eV/cell
Density ... 7.52 Mg/m³


7.
VASP calculation (GGA-PBE) on a relaxed structure of BaMnPb2.

Cell lengths 3.7508, 4.0142, 7.9663 Å; angles 90.00, 94.21, 90.00 degrees
Sites, in units of the cell vectors:
Ba: 0.0000 0.0000 0.0000
Mn: 0.0000 0.0000 0.5000
Pb: 0.4459 0.5000 0.6921
Pb: 0.5541 0.5000 0.3079

E_tot ... -18.4 eV/cell
Density ... 8.42 Mg/m³


8.
VASP calculation (GGA-PBE) on a relaxed structure of BaMnPb2.

Cell lengths 7.1711, 9.5563, 3.7060 Å; angles 90.00, 90.12, 90.00 degrees
Sites, in units of the cell vectors:
Ba: 0.0000 0.0000 0.0000
Ba: 0.5000 0.5000 0.0000
Mn: 0.0000 0.5000 0.0000
Mn: 0.5000 0.0000 0.0000
Pb: 0.2500 0.2500 0.5000
Pb: 0.2500 0.7500 0.5000
Pb: 0.7500 0.2500 0.5000
Pb: 0.7500 0.7500 0.5000

E_tot ... -35.3 eV/cell
Density ... 7.93 Mg/m³